Entry 1:
# YScSn2C, optimized geometry, DFT PBE
# - ΔH_f (0 K) (eV/atom) = 0.230
# - space group = P4/mmm
# - magnetic moment (μB per atom) = 0.102
# - crystal system = tetragonal
data_YScSn2C
_chemical_formula_sum 'Y1 Sc1 Sn2 C1'
_symmetry_space_group_name_H-M 'P 1'
_symmetry_Int_Tables_number 1
_cell_length_a 4.861
_cell_length_b 4.861
_cell_length_c 4.705
_cell_angle_alpha 90.00
_cell_angle_beta 90.00
_cell_angle_gamma 90.00
loop_
_symmetry_equiv_pos_as_xyz
'x,y,z'
loop_
_atom_site_label
_atom_site_fract_x
_atom_site_fract_y
_atom_site_fract_z
Y1 0.000 0.000 0.000
Sc1 0.500 0.500 0.000
Sn1 0.000 0.500 0.500
Sn2 0.500 0.000 0.500
C1 0.000 0.000 0.500

---

Entry 2:
# La3BeCr, optimized geometry, DFT PBE
# - ΔH_f (0 K) (eV/atom) = 0.571
# - distance to the lowest polymorph of the same formula (eV per formula unit) = 0.00
# - space group = Pm-3m
# - magnetic moment (μB per atom) = 0.000
# - crystal system = cubic
data_La3BeCr
_chemical_formula_sum 'La3 Be1 Cr1'
_symmetry_space_group_name_H-M 'P 1'
_symmetry_Int_Tables_number 1
_cell_length_a 5.236
_cell_length_b 5.236
_cell_length_c 5.236
_cell_angle_alpha 90.00
_cell_angle_beta 90.00
_cell_angle_gamma 90.00
loop_
_symmetry_equiv_pos_as_xyz
'x,y,z'
loop_
_atom_site_label
_atom_site_fract_x
_atom_site_fract_y
_atom_site_fract_z
La1 0.000 0.000 0.500
La2 0.000 0.500 0.000
La3 0.500 0.000 0.000
Be1 0.500 0.500 0.500
Cr1 0.000 0.000 0.000